# 1
# ZrTlFe2

Crystalline ZrTlFe2 at its relaxed geometry (PBEsol, Alexandria via LeMat-Bulk).

Cell: 3.0755 3.0755 6.8866 Å, 90.00 90.00 90.00°
Site moments in Bohr magnetons follow the coordinates.
Atoms (fractional coordinates):
Fe 0.5000 0.5000 0.2045  2.47
Fe 0.0000 0.0000 0.0384  2.08
Tl 0.0000 0.0000 0.4609  -0.02
Zr 0.5000 0.5000 0.7962  -0.14

As for the space-group type: P4mm (99). As for the density of states at the Fermi level: 0.89 states/eV per atom. The volume is 65 Å³/f.u. Its energy of formation from the pure elements is 0.12 eV/atom. The calculation puts the calculated total energy at -29.2 eV/f.u. As for the crystal system: tetragonal.


# 2
# TlCrRu3

Crystalline TlCrRu3 at its relaxed geometry (PBEsol, Alexandria via LeMat-Bulk).

Cell: 4.3966 4.3966 4.3966 Å, 90.00 90.00 90.00°
Atoms (fractional coordinates):
Ru 0.0000 0.5000 0.0000
Ru 0.0000 0.0000 0.5000
Ru 0.5000 0.0000 0.0000
Cr 0.0000 0.0000 0.0000
Tl 0.5000 0.5000 0.5000

As for the space-group type: Pm-3m (221). As for the density of states at the Fermi level: 1.37 states/eV per atom. The volume is 85 Å³/f.u. Its energy of formation from the pure elements is 1.22 eV/atom. The calculation puts the calculated total energy at -37.3 eV/f.u. As for the crystal system: cubic.


# 3
# MnFe2W

Crystalline MnFe2W at its relaxed geometry (PBEsol, Alexandria via LeMat-Bulk).

Cell: 3.0158 3.9995 4.7180 Å, 115.08 108.64 90.00°
Site moments in Bohr magnetons follow the coordinates.
Atoms (fractional coordinates):
Mn 0.5024 0.5024 0.0048  2.02
Fe 0.9967 0.9967 0.9934  1.90
Fe 0.2517 0.7517 0.5033  1.78
W 0.7492 0.2492 0.4984  -0.40

As for the space-group type: Imm2 (44). As for the density of states at the Fermi level: 0.63 states/eV per atom. The volume is 48 Å³/f.u. Its energy of formation from the pure elements is 0.09 eV/atom. The calculation puts the calculated total energy at -41.1 eV/f.u. As for the crystal system: orthorhombic.


# 4
# BIrO3

Crystalline BIrO3 at its relaxed geometry (PBEsol, Alexandria via LeMat-Bulk).

Cell: 3.8267 3.8267 3.8267 Å, 90.00 90.00 90.00°
Site moments in Bohr magnetons follow the coordinates.
Atoms (fractional coordinates):
O 0.0000 0.5000 0.0000  0.07
O 0.0000 0.0000 0.5000  0.07
O 0.5000 0.0000 0.0000  0.07
B 0.5000 0.5000 0.5000  0.02
Ir 0.0000 0.0000 0.0000  0.33

Its uncorrected formation energy is 552 meV/atom. As for the space-group type: Pm-3m (221). As for the density of states at the Fermi level: 0.91 states/eV per atom. The volume is 56 Å³/f.u. The calculation puts the calculated total energy at -29.8 eV/f.u. As for the crystal system: cubic.


# 5
# BaAgPbAu2

Crystalline BaAgPbAu2 at its relaxed geometry (PBEsol, Alexandria via LeMat-Bulk).

Cell: 5.2046 5.2046 5.1943 Å, 90.00 90.00 90.00°
Atoms (fractional coordinates):
Ba 0.5000 0.5000 0.5000
Pb 0.0000 0.0000 0.5000
Au 0.0000 0.5000 0.0000
Au 0.5000 0.0000 0.0000
Ag 0.0000 0.0000 0.0000

As for the space-group type: P4/mmm (123). As for the density of states at the Fermi level: 0.49 states/eV per atom. The volume is 141 Å³/f.u. Its energy of formation from the pure elements is -0.05 eV/atom. The calculation puts the calculated total energy at -17.5 eV/f.u. As for the crystal system: tetragonal.


# 6
# Ni2MoAu

Crystalline Ni2MoAu at its relaxed geometry (PBEsol, Alexandria via LeMat-Bulk).

Cell: 2.6800 2.6800 7.3474 Å, 90.00 90.00 90.00°
Atoms (fractional coordinates):
Au 0.5000 0.5000 0.0000
Ni 0.0000 0.0000 0.7386
Ni 0.0000 0.0000 0.2614
Mo 0.5000 0.5000 0.5000

As for the space-group type: P4/mmm (123). As for the density of states at the Fermi level: 0.67 states/eV per atom. The volume is 53 Å³/f.u. Its energy of formation from the pure elements is 0.00 eV/atom. The calculation puts the calculated total energy at -28.0 eV/f.u. As for the crystal system: tetragonal.


# 7
# Ta2OsRu

Crystalline Ta2OsRu at its relaxed geometry (PBEsol, Alexandria via LeMat-Bulk).

Cell: 3.0236 3.0236 6.8324 Å, 90.00 90.00 90.00°
Atoms (fractional coordinates):
Ru 0.5000 0.5000 0.5000
Os 0.5000 0.5000 0.0000
Ta 0.0000 0.0000 0.2514
Ta 0.0000 0.0000 0.7486

As for the space-group type: P4/mmm (123). As for the density of states at the Fermi level: 0.82 states/eV per atom. The volume is 62 Å³/f.u. Its energy of formation from the pure elements is -0.27 eV/atom. The calculation puts the calculated total energy at -48.6 eV/f.u. As for the crystal system: tetragonal.


# 8
# Cu2PtSe

Crystalline Cu2PtSe at its relaxed geometry (PBEsol, Alexandria via LeMat-Bulk).

Cell: 3.2603 3.3114 5.1966 Å, 90.00 90.00 90.00°
Atoms (fractional coordinates):
Cu 0.0000 0.0000 0.2469
Cu 0.0000 0.0000 0.7531
Pt 0.5000 0.5000 0.0000
Se 0.5000 0.5000 0.5000

Its uncorrected formation energy is 63 meV/atom. As for the space-group type: Pmmm (47). As for the density of states at the Fermi level: 0.57 states/eV per atom. The volume is 56 Å³/f.u. The calculation puts the calculated total energy at -19.2 eV/f.u. As for the crystal system: orthorhombic.


# 9
# TcRuRh2

Crystalline TcRuRh2 at its relaxed geometry (PBEsol, Alexandria via LeMat-Bulk).

Cell: 2.6716 2.6716 8.8880 Å, 81.36 81.36 60.00°
Atoms (fractional coordinates):
Rh 0.7509 0.7509 0.7473
Rh 0.9989 0.9989 0.0033
Tc 0.2493 0.2493 0.2522
Ru 0.5009 0.5009 0.4972

As for the space-group type: R3m (160). As for the density of states at the Fermi level: 1.17 states/eV per atom. The volume is 54 Å³/f.u. Its energy of formation from the pure elements is -0.01 eV/atom. The calculation puts the calculated total energy at -37.8 eV/f.u. As for the crystal system: trigonal.


# 10
# Nb3SeBr

Crystalline Nb3SeBr at its relaxed geometry (PBEsol, Alexandria via LeMat-Bulk).

Cell: 4.7699 4.7699 4.7699 Å, 90.00 90.00 90.00°
Atoms (fractional coordinates):
Br 0.5000 0.5000 0.5000
Nb 0.5000 0.0000 0.0000
Nb 0.0000 0.5000 0.0000
Nb 0.0000 0.0000 0.5000
Se 0.0000 0.0000 0.0000

Its uncorrected formation energy is 891 meV/atom. As for the space-group type: Pm-3m (221). As for the density of states at the Fermi level: 0.55 states/eV per atom. The volume is 109 Å³/f.u. The calculation puts the calculated total energy at -33.7 eV/f.u. As for the crystal system: cubic.


# 11
# TcMo2W

Crystalline TcMo2W at its relaxed geometry (PBEsol, Alexandria via LeMat-Bulk).

Cell: 2.7048 2.7048 8.7652 Å, 90.00 90.00 109.73°
Atoms (fractional coordinates):
Mo 0.0000 0.0000 0.9992
Mo 0.5000 0.5000 0.7477
W 0.5000 0.5000 0.2526
Tc 0.0000 0.0000 0.5004

As for the space-group type: Cmm2 (35). As for the density of states at the Fermi level: 0.91 states/eV per atom. The volume is 60 Å³/f.u. Its energy of formation from the pure elements is 0.07 eV/atom. The calculation puts the calculated total energy at -48.3 eV/f.u. As for the crystal system: orthorhombic.


# 12
# BaNi2Au2

Crystalline BaNi2Au2 at its relaxed geometry (PBEsol, Alexandria via LeMat-Bulk).

Cell: 4.3351 4.3351 6.1420 Å, 110.67 110.67 90.00°
Atoms (fractional coordinates):
Ni 0.7500 0.2500 0.5000
Ni 0.2500 0.7500 0.5000
Au 0.6281 0.6281 0.2563
Au 0.3719 0.3719 0.7437
Ba 0.0000 0.0000 0.0000

As for the space-group type: I4/mmm (139). As for the density of states at the Fermi level: 1.12 states/eV per atom. The volume is 100 Å³/f.u. Its energy of formation from the pure elements is -0.04 eV/atom. The calculation puts the calculated total energy at -22.5 eV/f.u. As for the crystal system: tetragonal.